A relaxed BeRe2Os crystal. Source: Alexandria, functional PBE.

a = 2.9992 Å, b = 4.1962 Å, c = 4.3522 Å
α = 90.00°, β = 90.00°, γ = 90.00°
Element x y z (fractional)
Be: 0.0000 0.0000 0.0000
Re: 0.0000 0.5000 0.5000
Re: 0.5000 0.0000 0.5000
Os: 0.5000 0.5000 0.0000

Results
For the energy of formation from the pure elements, the calculation gives 220 meV/atom. The uncorrected energy is -39.0 eV/cell. As for the density: 17.331 Mg/m³.